Entry 1:
This record from Alexandria describes a relaxed SrUBr6 crystal. The functional is PBE.

POSCAR file:
```
SrUBr6
1.0
-1.2098 6.4320 -3.2659
-6.3385 -0.7401 -3.6722
-6.4215 1.6608 3.3682
Sr U Br
1 1 6
direct
0.0000 0.0000 0.0000
0.5000 0.5000 0.0000
0.7340 0.4271 0.6998
0.7340 0.1269 0.3002
0.2660 0.8731 0.6998
0.2660 0.5729 0.3002
0.7303 0.7443 0.0000
0.2697 0.2557 0.0000
```

Space-group type: C2/m
Total moment, μB/atom: 0.25
Uncorrected formation energy, eV per formula unit: -12.7
Electronic total energy, eV/cell: -35.8



Entry 2:
This record from Alexandria describes a relaxed Ag5HgCl8 crystal. The functional is PBE.

POSCAR file:
```
Ag5HgCl8
1.0
-5.0976 2.8982 -5.3791
-0.0472 -2.9070 -7.4072
-6.1112 -4.4466 -2.4901
Ag Hg Cl
5 1 8
direct
0.0000 0.0000 0.0000
0.6288 0.6288 0.1136
0.6288 0.6288 0.6288
0.1136 0.6288 0.6288
0.6288 0.1136 0.6288
0.2500 0.2500 0.2500
0.3822 0.8535 0.3822
0.8535 0.3822 0.3822
0.3822 0.3822 0.3822
0.3822 0.3822 0.8535
0.8693 0.8693 0.3920
0.3920 0.8693 0.8693
0.8693 0.8693 0.8693
0.8693 0.3920 0.8693
```

Space-group type: F-43m
Total moment, μB/atom: 0.00
Uncorrected formation energy, eV per formula unit: -6.2
Electronic total energy, eV/cell: -35.6



no.,calculated density (Mg/m³)
1,4.00
2,4.77